Mg2Zn at its PBEsol-relaxed geometry, computed with meta-GGA SCAN.

Computed properties:
Formation energy from the elements in kJ/mol of atoms: -0.4

Geometry as CIF:
```
data_Mg2Zn
_chemical_formula_sum 'Mg4 Zn2'
_cell_length_a 3.0871
_cell_length_b 3.0871
_cell_length_c 14.0799
_cell_angle_alpha 90.00
_cell_angle_beta 90.00
_cell_angle_gamma 120.00
_space_group_name_H-M_alt 'P -6 m 2'
_space_group_IT_number 187
_space_group_name_Hall 'P -6 2'
loop_
_atom_site_label
_atom_site_type_symbol
_atom_site_fract_x
_atom_site_fract_y
_atom_site_fract_z
_atom_site_occupancy
Mg1 Mg 0.0000 0.0000 0.0000 1
Mg2 Mg 0.0000 0.0000 0.3138 1
Mg3 Mg 0.6667 0.3333 0.5000 1
Zn1 Zn 0.6667 0.3333 0.1575 1
```